TlCuTe2Pd: single point on PBEsol structure, SCAN.

Summary:
The calculation puts the formation energy from raw total energies at 1.05 eV per atom.

Lattice parameters (Å, degrees): 4.7086 5.6123 5.6123 90.00 90.00 90.00
Fractional positions:
Tl 0.0000 0.0000 0.0000
Te 0.0000 0.0000 0.5000
Te 0.0000 0.5000 0.0000
Cu 0.5000 0.0000 0.0000
Pd 0.5000 0.5000 0.5000


TcRuI2: single point on PBEsol structure, SCAN.

Summary:
The calculation puts the formation energy from raw total energies at 1.23 eV per atom.

Lattice parameters (Å, degrees): 4.6972 4.6972 4.6972 60.00 60.00 60.00
Fractional positions:
I 0.2500 0.2500 0.2500
I 0.7500 0.7500 0.7500
Ru 0.5000 0.5000 0.5000
Tc 0.0000 0.0000 0.0000


LaAlBi3: single point on PBEsol structure, SCAN.

Summary:
The formation energy comes out at -0.0481 eV/atom.

Lattice parameters (Å, degrees): 5.4010 5.4010 5.4010 90.00 90.00 90.00
Fractional positions:
Al 0.0000 0.0000 0.0000
Bi 0.0000 0.5000 0.0000
Bi 0.0000 0.0000 0.5000
Bi 0.5000 0.0000 0.0000
La 0.5000 0.5000 0.5000